Y3Mn3B8 (PBE, optimized geometry); DFT total energy = -7.42 eV/atom; energy of formation = -253 meV/atom; space-group type = Immm (71); DOS at the Fermi energy = 0.4544 states/eV per atom
1.0
-1.587 3.920 6.527
1.587 -3.920 6.527
1.587 3.920 -6.527
Y Mn B
3 3 8
direct
0.000 0.000 0.000
0.275 0.275 0.000
0.725 0.725 0.000
0.300 0.500 0.800
0.500 0.000 0.500
0.700 0.500 0.200
0.049 0.366 0.683
0.149 0.879 0.270
0.318 0.634 0.683
0.392 0.121 0.270
0.608 0.879 0.730
0.682 0.366 0.317
0.851 0.121 0.730
0.951 0.634 0.317

***

H2IrBr (PBE, optimized geometry); energy above the most stable polymorph in this dataset = 0.000 eV/f.u.; DFT total energy = -3.74 eV/atom; space-group type = I-42d (122); DOS at the Fermi energy = 0.5971 states/eV per atom
1.0
-2.633 2.633 3.662
2.633 -2.633 3.662
2.633 2.633 -3.662
H Ir Br
4 2 2
direct
0.375 0.225 0.350
0.775 0.125 0.150
0.875 0.025 0.650
0.975 0.625 0.850
0.000 0.000 0.000
0.750 0.250 0.500
0.250 0.750 0.500
0.500 0.500 0.000

***

CaV2HgI (PBE, optimized geometry); DFT total energy = -2.98 eV/atom; space-group type = P4/mmm (123); DOS at the Fermi energy = 2.2232 states/eV per atom
1.0
5.653 0.000 0.000
0.000 5.653 0.000
0.000 0.000 5.759
Ca V Hg I
1 2 1 1
direct
0.000 0.000 0.000
0.000 0.500 0.000
0.500 0.000 0.000
0.000 0.000 0.500
0.500 0.500 0.500

***

CrInIN2 (PBE, optimized geometry); energy above the most stable polymorph in this dataset = 3.691 eV/f.u.; DFT total energy = -4.51 eV/atom; space-group type = P4/mmm (123); DOS at the Fermi energy = 1.0250 states/eV per atom
1.0
4.198 0.000 0.000
0.000 4.198 0.000
0.000 0.000 5.945
Cr In I N
1 1 1 2
direct
0.000 0.000 0.000
0.500 0.500 0.500
0.500 0.500 0.000
0.000 0.500 0.500
0.500 0.000 0.500

***

Zr2TeIr (PBE, optimized geometry); DFT total energy = -7.39 eV/atom; space-group type = R3m (160); DOS at the Fermi energy = 0.8566 states/eV per atom
1.0
1.729 0.998 8.851
-1.729 0.998 8.851
0.000 -1.996 8.851
Zr Te Ir
2 1 1
direct
0.000 0.000 0.000
0.234 0.234 0.234
0.484 0.484 0.484
0.729 0.729 0.729

***

GePOsCl2 (PBE, optimized geometry); energy above the most stable polymorph in this dataset = 0.000 eV/f.u.; DFT total energy = -4.44 eV/atom; space-group type = P4/mmm (123); DOS at the Fermi energy = 0.7758 states/eV per atom
1.0
4.886 0.000 0.000
0.000 4.886 0.000
0.000 0.000 4.539
Ge P Os Cl
1 1 1 2
direct
0.000 0.000 0.000
0.500 0.500 0.000
0.500 0.500 0.500
0.000 0.500 0.500
0.500 0.000 0.500

***

What did the fourth record say?
CrInIN2 (PBE, optimized geometry); energy above the most stable polymorph in this dataset = 3.691 eV/f.u.; DFT total energy = -4.51 eV/atom; space-group type = P4/mmm (123); DOS at the Fermi energy = 1.0250 states/eV per atom
1.0
4.198 0.000 0.000
0.000 4.198 0.000
0.000 0.000 5.945
Cr In I N
1 1 1 2
direct
0.000 0.000 0.000
0.500 0.500 0.500
0.500 0.500 0.000
0.000 0.500 0.500
0.500 0.000 0.500